(1)
Compound: Ac5Ni2Hg
Source: Alexandria via LeMat-Bulk
Functional: GGA-PBE
Structure: relaxed

Geometry as POSCAR:
```
Ac5Ni2Hg
1.0
-7.8893 -2.7905 -0.5205
-0.1216 1.8684 -8.1731
6.4530 -6.1688 2.7931
Ac Hg Ni
10 2 4
Cartesian
3.0819 -5.0153 1.7342 Ac
-0.8845 -6.0731 -0.0031 Ac
0.4804 -4.6347 -3.9956 Ac
-4.6398 -2.0756 -7.6346 Ac
-2.0383 -2.4563 -1.9049 Ac
4.4471 -3.5767 -2.2583 Ac
-6.0050 -3.5142 -3.6422 Ac
-4.0055 -0.4611 -4.3468 Ac
0.0000 0.0000 0.0000 Ac
-0.6734 -1.0178 -5.8974 Ac
-2.7815 -3.7759 -5.1236 Hg
1.2236 -3.3150 -0.7768 Hg
-0.5174 -7.4374 -2.7790 Ni
-3.0558 0.5894 -7.3369 Ni
-1.0405 0.3465 -3.1214 Ni
1.4979 -7.6803 1.4365 Ni
```

Output
calculated volume	31.794	Å³/atom
ΔH_f (0 K)	-0.226	eV per atom

(2)
Compound: Pa2ZnGa3
Source: Alexandria via LeMat-Bulk
Functional: GGA-PBE
Structure: relaxed

Geometry as POSCAR:
```
Pa2ZnGa3
1.0
-3.7580 1.4858 0.4879
-0.3935 -2.1641 3.5593
4.7955 5.9909 1.7134
Zn Ga Pa
1 3 2
Cartesian
2.3051 4.1170 5.2173 Zn
-1.8629 0.1032 2.3160 Ga
-0.9551 1.9896 3.5634 Ga
1.4085 2.2538 3.9853 Ga
0.6912 1.4364 0.9498 Pa
0.1485 4.9561 3.0298 Pa
```

Output
energy relative to the lowest polymorph listed for this composition	0.022	eV/atom
calculated volume	20.724	Å³/atom
ΔH_f (0 K)	-0.240	eV per atom

(3)
Compound: Sr2FeRh
Source: Alexandria via LeMat-Bulk
Functional: GGA-PBE
Structure: relaxed

Geometry as POSCAR:
```
Sr2FeRh
1.0
4.1776 0.0000 0.0000
0.0000 4.6736 0.0000
0.0000 2.3390 5.7405
Sr Fe Rh
2 1 1
Cartesian
2.0888 2.0458 1.9651 Sr
0.0000 6.7201 5.1803 Sr
0.0000 4.3826 3.0037 Fe
2.0888 4.3830 4.2020 Rh
```

Output
energy relative to the lowest polymorph listed for this composition	0.000	eV/atom
calculated volume	28.020	Å³/atom
ΔH_f (0 K)	0.070	eV per atom

(4)
Compound: CsCu2Si2
Source: Alexandria via LeMat-Bulk
Functional: GGA-PBE
Structure: relaxed

Geometry as POSCAR:
```
CsCu2Si2
1.0
-4.2718 0.0873 -0.3790
-0.0190 -4.2217 -0.7590
-2.7624 -3.2652 6.1101
Cu Si Cs
2 2 1
Cartesian
-2.4634 -4.7771 2.3911 Cu
-4.5898 -2.6225 2.5811 Cu
-4.6851 -4.9002 3.1313 Si
-2.3680 -2.4995 1.8409 Si
0.0000 0.0000 0.0000 Cs
```

Output
energy relative to the lowest polymorph listed for this composition	0.000	eV/atom
calculated volume	25.073	Å³/atom
formation energy from raw total energies	133	meV/atom

(5)
Compound: CaY5Pb4
Source: Alexandria via LeMat-Bulk
Functional: GGA-PBE
Structure: relaxed

Geometry as POSCAR:
```
CaY5Pb4
1.0
-3.4979 -1.0362 0.6359
3.0990 -8.8768 2.5825
2.3881 3.4872 8.0364
Ca Pb Y
1 4 5
Cartesian
-1.7490 -0.5181 0.3179 Ca
1.1728 -4.3477 10.1504 Pb
3.2990 -6.4034 7.7134 Pb
-1.3099 -0.0224 3.5414 Pb
0.8164 -2.0781 1.1045 Pb
0.5505 -4.1442 7.0588 Y
1.4386 -2.2816 4.1961 Y
-0.5614 -0.5806 6.7491 Y
-0.1995 -4.9565 1.6092 Y
2.5506 -5.8452 4.5057 Y
```

Output
calculated volume	32.080	Å³/atom
ΔH_f (0 K)	-0.224	eV per atom

(6)
Compound: Sc3Se4
Source: Alexandria via LeMat-Bulk
Functional: GGA-PBE
Structure: relaxed

Geometry as POSCAR:
```
Sc3Se4
1.0
-0.2592 -0.6458 -3.7852
6.2474 -2.1918 -0.0538
-3.9737 -5.1686 1.1539
Sc Se
3 4
Cartesian
3.1237 -1.0959 -0.0269 Sc
-1.9868 -2.5843 0.5770 Sc
-0.1296 -0.3229 -1.8926 Sc
0.5610 -1.8161 0.2714 Se
-1.4808 -4.7278 -1.0486 Se
1.7127 -5.5443 0.8287 Se
3.4953 -3.2785 -1.6366 Se
```

Output
energy relative to the lowest polymorph listed for this composition	0.000	eV/atom
calculated volume	22.920	Å³/atom
formation energy from raw total energies	-1720	meV/atom

Q: The highest calculated volume belongs to which entry?
A: CaY5Pb4

Q: Look up the calculated volume of the fourth one.
A: 25.073 Å³/atom